The following is a GGA-PBE calculation of a relaxed structure of FeHg3Se, from the Alexandria database.

Structure (POSCAR):
```
FeHg3Se
1.0
5.047 0.000 0.000
0.000 5.047 0.000
0.000 0.000 5.047
Fe Se Hg
1 1 3
Cartesian
0.000 0.000 0.000
2.523 2.523 2.523
0.000 0.000 2.523
2.523 0.000 0.000
0.000 2.523 0.000
```

energy relative to the elements, uncorrected = 3.894 eV per formula unit
offset from the most stable computed form = 0.0 meV/atom
symmetry = Pm-3m (221)

***

The following is a GGA-PBE calculation of a relaxed structure of NaSrO2, from the Alexandria database.

Structure (POSCAR):
```
NaSrO2
1.0
5.155 0.000 0.000
0.000 5.155 0.000
2.577 2.577 6.050
O Na Sr
4 2 2
Cartesian
1.325 3.866 1.512
3.830 1.289 1.512
3.866 3.902 4.537
6.443 6.407 4.537
2.577 5.155 3.025
2.577 2.577 0.000
0.000 0.000 0.000
5.155 2.577 3.025
```

energy relative to the elements, uncorrected = -6.249 eV per formula unit
symmetry = I-42d (122)

***

The following is a GGA-PBE calculation of a relaxed structure of AcPm3Al8, from the Alexandria database.

Structure (POSCAR):
```
AcPm3Al8
1.0
-0.925 5.160 -2.284
-3.181 0.507 -4.724
-9.047 2.846 2.937
Al Pm Ac
8 3 1
Cartesian
-5.035 3.257 -4.917
-11.295 6.563 -2.071
-3.439 3.003 -2.546
-4.746 2.310 -0.017
-3.903 5.592 -3.692
-9.655 4.687 -3.377
-10.120 7.280 -4.525
-8.521 7.025 -2.150
-6.575 4.256 -2.037
-4.108 5.667 -7.006
-9.452 4.615 -0.061
-6.993 6.027 -5.025
```

offset from the most stable computed form = 0.0 meV/atom
symmetry = R3m (160)

***

The following is a GGA-PBE calculation of a relaxed structure of Hf12PtRh6, from the Alexandria database.

Structure (POSCAR):
```
Hf12PtRh6
1.0
-1.488 3.346 6.769
-6.561 1.514 -3.727
-1.170 -7.377 1.854
Hf Rh Pt
12 6 1
Cartesian
-3.600 3.130 5.209
-5.449 0.546 4.229
-4.545 -3.544 3.828
-2.527 -0.959 4.092
-6.587 -0.777 -2.427
-7.219 3.163 1.206
-2.633 -1.740 7.323
-5.620 -5.648 -0.313
-4.675 1.027 1.068
-3.771 -3.063 0.667
-2.001 -5.681 3.690
-6.693 -1.558 0.803
-6.171 -4.003 1.642
-3.049 1.485 3.254
-4.556 -0.847 -0.784
-4.664 -1.671 5.680
-2.062 -3.278 2.663
-7.158 0.761 2.233
0.000 0.000 0.000
```

symmetry = R-3 (148)

***

The following is a GGA-PBE calculation of a relaxed structure of Mn2InHPd, from the Alexandria database.

Structure (POSCAR):
```
Mn2InHPd
1.0
3.841 0.000 0.000
0.000 3.841 0.000
0.000 0.000 4.423
Mn In Pd H
2 1 1 1
Cartesian
1.921 0.000 0.000
0.000 1.921 0.000
0.000 0.000 2.211
1.921 1.921 2.211
0.000 0.000 0.000
```

symmetry = P4/mmm (123)

***

The following is a GGA-PBE calculation of a relaxed structure of Ca2PdAuO4, from the Alexandria database.

Structure (POSCAR):
```
Ca2PdAuO4
1.0
5.304 0.160 0.245
-2.116 4.867 -0.245
-2.116 -2.183 4.357
O Pd Ca Au
4 1 2 1
Cartesian
0.841 1.462 2.469
-0.962 -0.709 2.025
-1.886 2.726 3.946
4.153 2.210 0.274
0.537 -0.340 3.329
0.000 0.000 0.000
0.537 3.184 1.028
-2.116 1.342 2.056
```

energy relative to the elements, uncorrected = -10.931 eV per formula unit
symmetry = I-4 (82)

***

Table of total DFT energy (no corrections) (eV/atom), in record order: -1.792 -4.791 -4.485 -9.311 -5.878 -5.405
Table of magnetic moment (μB/cell), in record order: 0.0 2.0 0.0 0.0 6.4 0.0
Table of DOS(E_F) (states/eV per cell), in record order: 14.9 15.5 8.7 19.3 2.9 4.6